# 1
A plane-wave DFT calculation with PBEsol was carried out for a geometry-optimized LiEr2Au structure.

The space group is Fm-3m (No. 225) and the conventional cell measures 7.033, 7.033 and 7.033 Å, with angles of 90.00, 90.00 and 90.00 degrees. The inequivalent atoms are Li at (0.000, 0.000, 0.000), Er at (0.250, 0.250, 0.250) and Au at (0.000, 0.000, 0.500).

The formation energy is -423 meV/atom. Its volume is 21.74 A^3/atom.

# 2
A plane-wave DFT calculation with PBEsol was carried out for a geometry-optimized Hg2Te structure.

The space group is Pa-3 (No. 205) and the conventional cell measures 7.090, 7.090 and 7.090 Å, with angles of 90.00, 90.00 and 90.00 degrees. The inequivalent atoms are Hg at (0.116, 0.116, 0.116) and Te at (0.000, 0.000, 0.500).

Its volume is 29.70 A^3/atom. Its energy relative to the elements, uncorrected is -0.01 eV per atom.

# 3
A plane-wave DFT calculation with PBEsol was carried out for a geometry-optimized SmSb2 structure.

The space group is Cmce (No. 64) and the conventional cell measures 6.172, 6.043 and 17.714 Å, with angles of 90.00, 90.00 and 90.00 degrees. The inequivalent atoms are Sm at (0.000, 0.141, 0.110), Sb at (0.000, 0.139, 0.435) and Sb at (0.250, 0.124, 0.750).

Its volume is 27.53 A^3/atom. Its energy relative to the elements, uncorrected is -0.83 eV per atom.

# 4
A plane-wave DFT calculation with PBEsol was carried out for a geometry-optimized HfMg2TcC structure.

The space group is P4/mmm (No. 123) and the conventional cell measures 4.917, 4.917 and 3.865 Å, with angles of 90.00, 90.00 and 90.00 degrees. The inequivalent atoms are Hf at (0.000, 0.000, 0.000), Mg at (0.000, 0.500, 0.500), Tc at (0.500, 0.500, 0.500) and C at (0.500, 0.500, 0.000).

The formation energy is 1106 meV/atom. Its volume is 18.69 A^3/atom.

# 5
A plane-wave DFT calculation with PBEsol was carried out for a geometry-optimized CeZnAgP2 structure.

The space group is P3m1 (No. 156) and the conventional cell measures 4.0862, 4.0862 and 6.6440 Å, with angles of 90.00, 90.00 and 120.00 degrees. The inequivalent atoms are Ce at (0.0000, 0.0000, 0.0000), Zn at (0.6667, 0.3333, 0.3756), Ag at (0.3333, 0.6667, 0.6419), P at (0.3333, 0.6667, 0.2558) and P at (0.6667, 0.3333, 0.7589).

The formation energy is -634 meV/atom. Its volume is 19.21 A^3/atom.

# 6
A plane-wave DFT calculation with PBEsol was carried out for a geometry-optimized MnAgAu2 structure.

The space group is Cmmm (No. 65) and the conventional cell measures 5.775, 7.710 and 2.907 Å, with angles of 90.00, 90.00 and 90.00 degrees. The inequivalent atoms are Mn at (0.000, 0.000, 0.000), Ag at (0.000, 0.500, 0.000) and Au at (0.250, 0.250, 0.500).

The formation energy is 65 meV/atom. Its volume is 16.18 A^3/atom.